# 1
Entry from Alexandria via LeMat-Bulk: an optimized crystal structure of LaSmIrCl (PBE).

The structure belongs to space group R3m (No. 160, hexagonal axes); the cell edges are 4.1212, 4.1212 and 23.1709 Å and the angles 90.00°, 90.00° and 120.00°. The inequivalent atoms are La at (0.0000, 0.0000, 0.0000), Sm at (0.0000, 0.0000, 0.2009), Ir at (0.0000, 0.0000, 0.6000) and Cl at (0.0000, 0.0000, 0.7733).

As for the calculated volume: 28.4 A^3/atom. For the raw formation energy, the calculation gives -4.9 eV per formula unit. The density of states at the Fermi level is 3.8 states/eV per cell.

# 2
Entry from Alexandria via LeMat-Bulk: an optimized crystal structure of YCrRu (PBE).

The structure belongs to space group F-43m (No. 216); the cell edges are 6.339, 6.339 and 6.339 Å and the angles 90.00°, 90.00° and 90.00°. The inequivalent atoms are Y at (0.000, 0.000, 0.000), Cr at (0.000, 0.000, 0.500) and Ru at (0.250, 0.250, 0.250).

As for the calculated volume: 21.2 A^3/atom. The density of states at the Fermi level is 11.7 states/eV per cell. Its energy above the lowest structure with this stoichiometry is 1.01 eV/f.u. The calculated formation energy comes out at 0.4003 eV/atom.

# 3
Entry from Alexandria via LeMat-Bulk: an optimized crystal structure of Nd2SCl (PBE).

The structure belongs to space group R3m (No. 160, hexagonal axes); the cell edges are 3.9077, 3.9077 and 22.6827 Å and the angles 90.00°, 90.00° and 120.00°. The inequivalent atoms are Nd at (0.0000, 0.0000, 0.0000), Nd at (0.0000, 0.0000, 0.1909), S at (0.0000, 0.0000, 0.5941) and Cl at (0.0000, 0.0000, 0.4269).

As for the calculated volume: 25.0 A^3/atom. For the raw formation energy, the calculation gives -6.7 eV per formula unit. The density of states at the Fermi level is 7.2 states/eV per cell. Its energy above the lowest structure with this stoichiometry is 0.12 eV/f.u.

- Number 3 is which compound?
  Nd2SCl

- Which value of calculated volume does entry 1 give?
  28.4 A^3/atom

- calculated volume of number 3 (Nd2SCl)?
  25.0 A^3/atom

- Which of these has the highest calculated volume?
  LaSmIrCl